1.
# GGA-PBE La5ErZn6, relaxed
# Formation energy, eV per atom: -0.3102
# V, Å³ per atom: 25.832
# Total magnetic moment, Bohr magnetons per cell: 0.00
data_La5ErZn6
_cell_length_a 5.2494
_cell_length_b 15.8505
_cell_length_c 7.4510
_cell_angle_alpha 90.00
_cell_angle_beta 90.00
_cell_angle_gamma 90.00
_symmetry_space_group_name_H-M 'C m m m'
_symmetry_Int_Tables_number 65
_symmetry_space_group_name_Hall '-C 2 2'
loop_
_atom_site_label
_atom_site_type_symbol
_atom_site_fract_x
_atom_site_fract_y
_atom_site_fract_z
La1 La 0.0000 0.0000 0.0000
La2 La 0.0000 0.3284 0.0000
La3 La 0.0000 0.3341 0.5000
Er1 Er 0.0000 0.0000 0.5000
Zn1 Zn 0.0000 0.1598 0.2588
Zn2 Zn 0.0000 0.5000 0.2618

=====

2.
# GGA-PBE Pm2MgTl8, relaxed
# Formation energy, eV per atom: -0.1985
# V, Å³ per atom: 28.253
# Total magnetic moment, Bohr magnetons per cell: 0.00
data_Pm2MgTl8
_cell_length_a 5.0362
_cell_length_b 5.0362
_cell_length_c 12.2529
_cell_angle_alpha 90.00
_cell_angle_beta 90.00
_cell_angle_gamma 90.00
_symmetry_space_group_name_H-M 'P 4/m m m'
_symmetry_Int_Tables_number 123
_symmetry_space_group_name_Hall '-P 4 2'
loop_
_atom_site_label
_atom_site_type_symbol
_atom_site_fract_x
_atom_site_fract_y
_atom_site_fract_z
Pm1 Pm 0.0000 0.0000 0.1871
Mg1 Mg 0.0000 0.0000 0.5000
Tl1 Tl 0.0000 0.5000 0.0000
Tl2 Tl 0.0000 0.5000 0.3663
Tl3 Tl 0.5000 0.5000 0.1849

=====

3.
# GGA-PBE Th4In3Ag, relaxed
# Formation energy, eV per atom: -0.2292
# V, Å³ per atom: 27.843
# Total magnetic moment, Bohr magnetons per cell: 0.00
data_Th4In3Ag
_cell_length_a 3.4919
_cell_length_b 3.4919
_cell_length_c 18.2672
_cell_angle_alpha 90.00
_cell_angle_beta 90.00
_cell_angle_gamma 90.00
_symmetry_space_group_name_H-M 'P 4/m m m'
_symmetry_Int_Tables_number 123
_symmetry_space_group_name_Hall '-P 4 2'
loop_
_atom_site_label
_atom_site_type_symbol
_atom_site_fract_x
_atom_site_fract_y
_atom_site_fract_z
Th1 Th 0.0000 0.0000 0.1175
Th2 Th 0.0000 0.0000 0.3725
In1 In 0.5000 0.5000 0.2452
In2 In 0.5000 0.5000 0.5000
Ag1 Ag 0.5000 0.5000 0.0000

=====

4.
# GGA-PBE Y2ScH, relaxed
# E above lowest polymorph, meV/atom: 854
# V, Å³ per atom: 24.578
# Total magnetic moment, Bohr magnetons per cell: 0.00
data_Y2ScH
_cell_length_a 7.3263
_cell_length_b 7.3263
_cell_length_c 7.3263
_cell_angle_alpha 90.00
_cell_angle_beta 90.00
_cell_angle_gamma 90.00
_symmetry_space_group_name_H-M 'F m -3 m'
_symmetry_Int_Tables_number 225
_symmetry_space_group_name_Hall '-F 4 2 3'
loop_
_atom_site_label
_atom_site_type_symbol
_atom_site_fract_x
_atom_site_fract_y
_atom_site_fract_z
Y1 Y 0.2500 0.2500 0.2500
Sc1 Sc 0.0000 0.0000 0.0000
H1 H 0.0000 0.0000 0.5000

=====

5.
# GGA-PBE Sc3SiMo, relaxed
# E above lowest polymorph, meV/atom: 24
# Formation energy from raw total energies, eV per atom: 0.607
# V, Å³ per atom: 23.605
# Total magnetic moment, Bohr magnetons per cell: 0.00
data_Sc3SiMo
_cell_length_a 4.9052
_cell_length_b 4.9052
_cell_length_c 4.9052
_cell_angle_alpha 90.00
_cell_angle_beta 90.00
_cell_angle_gamma 90.00
_symmetry_space_group_name_H-M 'P m -3 m'
_symmetry_Int_Tables_number 221
_symmetry_space_group_name_Hall '-P 4 2 3'
loop_
_atom_site_label
_atom_site_type_symbol
_atom_site_fract_x
_atom_site_fract_y
_atom_site_fract_z
Sc1 Sc 0.0000 0.0000 0.5000
Si1 Si 0.0000 0.0000 0.0000
Mo1 Mo 0.5000 0.5000 0.5000

=====

6.
# GGA-PBE ScReBr2Cl, relaxed
# Formation energy from raw total energies, eV per atom: 0.306
# V, Å³ per atom: 30.896
# Total magnetic moment, Bohr magnetons per cell: 4.84
data_ScReBr2Cl
_cell_length_a 5.0829
_cell_length_b 5.0829
_cell_length_c 5.9793
_cell_angle_alpha 90.00
_cell_angle_beta 90.00
_cell_angle_gamma 90.00
_symmetry_space_group_name_H-M 'P 4/m m m'
_symmetry_Int_Tables_number 123
_symmetry_space_group_name_Hall '-P 4 2'
loop_
_atom_site_label
_atom_site_type_symbol
_atom_site_fract_x
_atom_site_fract_y
_atom_site_fract_z
Sc1 Sc 0.0000 0.0000 0.0000
Re1 Re 0.0000 0.0000 0.5000
Br1 Br 0.0000 0.5000 0.0000
Cl1 Cl 0.5000 0.5000 0.5000

=====

7.
# GGA-PBE LiHSe, relaxed
# Final energy, eV/atom: -3.507
# V, Å³ per atom: 19.525
# Total magnetic moment, Bohr magnetons per cell: 0.00
data_LiHSe
_cell_length_a 4.4191
_cell_length_b 4.4191
_cell_length_c 10.3904
_cell_angle_alpha 90.00
_cell_angle_beta 90.00
_cell_angle_gamma 120.00
_symmetry_space_group_name_H-M 'R 3 m'
_symmetry_Int_Tables_number 160
_symmetry_space_group_name_Hall 'R 3 -2"'
loop_
_atom_site_label
_atom_site_type_symbol
_atom_site_fract_x
_atom_site_fract_y
_atom_site_fract_z
Li1 Li 0.0000 0.0000 0.0000
H1 H 0.0000 0.0000 0.4965
Se1 Se 0.0000 0.0000 0.3532

=====

8.
# GGA-PBE HfNbHg2, relaxed
# Formation energy, eV per atom: 0.0736
# E above lowest polymorph, meV/atom: 0
# V, Å³ per atom: 20.071
# Total magnetic moment, Bohr magnetons per cell: 0.00
data_HfNbHg2
_cell_length_a 4.3346
_cell_length_b 4.3346
_cell_length_c 4.2731
_cell_angle_alpha 90.00
_cell_angle_beta 90.00
_cell_angle_gamma 90.00
_symmetry_space_group_name_H-M 'P 4/m m m'
_symmetry_Int_Tables_number 123
_symmetry_space_group_name_Hall '-P 4 2'
loop_
_atom_site_label
_atom_site_type_symbol
_atom_site_fract_x
_atom_site_fract_y
_atom_site_fract_z
Hf1 Hf 0.0000 0.0000 0.0000
Nb1 Nb 0.5000 0.5000 0.0000
Hg1 Hg 0.0000 0.5000 0.5000